Entry 1:
Density functional theory data (PBE-GGA) for a relaxed structure of Rb2CdS.

uncorrected formation energy	-0.426	eV per atom
D(E_F)	0.000	states/eV per cell
energy relative to the lowest polymorph listed for this composition	0.38	eV/f.u.
crystal system	tetragonal
SG	I-42d (122)
spin magnetization	0.00	μB/f.u.

Unit cell a=9.6331 b=9.6331 c=7.7912 alpha=51.81 beta=51.81 gamma=90.00
Closest atoms and distances in Å follow each position.
Fractional coordinates of all 8 atoms:
S (0.5000, 0.5000, 0.0000)  4 Rb 3.13
S (0.2500, 0.7500, 0.5000)  4 Rb 3.13
Rb (0.5577, 0.1250, 0.2500)  2 S 3.13
Rb (0.1923, 0.6250, 0.2500)  2 S 3.13
Rb (0.3750, 0.4423, 0.7500)  2 S 3.13
Rb (0.8750, 0.8077, 0.7500)  2 S 3.13
Cd (0.0000, 0.0000, 0.0000)  2 S 3.78, 8 Rb 4.00-4.12
Cd (0.7500, 0.2500, 0.5000)  2 S 3.78, 8 Rb 4.00-4.12

---

Entry 2:
Density functional theory data (PBE-GGA) for a relaxed structure of Rb12Cd3S5.

uncorrected formation energy	-0.531	eV per atom
D(E_F)	38.667	states/eV per cell
crystal system	cubic
SG	Ia-3d (230)
spin magnetization	0.01	μB/f.u.

Unit cell a=18.0087 b=18.0087 c=18.0087 alpha=109.47 beta=109.47 gamma=109.47
Closest atoms and distances in Å follow each position.
Fractional coordinates of all 80 atoms:
Cd (0.7500, 0.3750, 0.1250)  8 Rb 4.18-4.19
Cd (0.8750, 0.7500, 0.1250)  8 Rb 4.18-4.19
Cd (0.3750, 0.7500, 0.6250)  8 Rb 4.18-4.19
Cd (0.2500, 0.1250, 0.3750)  8 Rb 4.18-4.19
Cd (0.8750, 0.1250, 0.2500)  8 Rb 4.18-4.19
Cd (0.3750, 0.6250, 0.2500)  8 Rb 4.18-4.19
Cd (0.6250, 0.3750, 0.7500)  8 Rb 4.18-4.19
Cd (0.1250, 0.8750, 0.7500)  8 Rb 4.18-4.19
Cd (0.7500, 0.8750, 0.6250)  8 Rb 4.18-4.19
Cd (0.6250, 0.2500, 0.3750)  8 Rb 4.18-4.19
Cd (0.1250, 0.2500, 0.8750)  8 Rb 4.18-4.19
Cd (0.2500, 0.6250, 0.8750)  8 Rb 4.18-4.19
S (0.1250, 0.3750, 0.2500)  4 Rb 3.10
S (0.0000, 0.5000, 0.0000)  6 Rb 3.24
S (0.0000, 0.0000, 0.0000)  6 Rb 3.24
S (0.3750, 0.2500, 0.1250)  4 Rb 3.10
S (0.5000, 0.0000, 0.5000)  6 Rb 3.24
S (0.5000, 0.5000, 0.0000)  6 Rb 3.24
S (0.1250, 0.7500, 0.3750)  4 Rb 3.10
S (0.7500, 0.1250, 0.8750)  4 Rb 3.10
S (0.7500, 0.6250, 0.3750)  4 Rb 3.10
S (0.3750, 0.1250, 0.7500)  4 Rb 3.10
S (0.6250, 0.8750, 0.2500)  4 Rb 3.10
S (0.5000, 0.5000, 0.5000)  6 Rb 3.24
S (0.5000, 0.0000, 0.0000)  6 Rb 3.24
S (0.0000, 0.0000, 0.5000)  6 Rb 3.24
S (0.2500, 0.3750, 0.6250)  4 Rb 3.10
S (0.2500, 0.8750, 0.1250)  4 Rb 3.10
S (0.0000, 0.5000, 0.5000)  6 Rb 3.24
S (0.8750, 0.2500, 0.6250)  4 Rb 3.10
S (0.6250, 0.7500, 0.8750)  4 Rb 3.10
S (0.8750, 0.6250, 0.7500)  4 Rb 3.10
Rb (0.6952, 0.1055, 0.0165)  2 S 3.10-3.24
Rb (0.3213, 0.5165, 0.4110)  2 S 3.10-3.24
Rb (0.9835, 0.3945, 0.3048)  2 S 3.10-3.24
Rb (0.5165, 0.1952, 0.1055)  2 S 3.10-3.24
Rb (0.5897, 0.6952, 0.6787)  2 S 3.10-3.24
Rb (0.9835, 0.5890, 0.1787)  2 S 3.10-3.24
Rb (0.3213, 0.8048, 0.4103)  2 S 3.10-3.24
Rb (0.0890, 0.9103, 0.1055)  2 S 3.10-3.24
Rb (0.5890, 0.9835, 0.6787)  2 S 3.10-3.24
Rb (0.6952, 0.5897, 0.1787)  2 S 3.10-3.24
Rb (0.8048, 0.4835, 0.3945)  2 S 3.10-3.24
Rb (0.8213, 0.9110, 0.0165)  2 S 3.10-3.24
Rb (0.1055, 0.6952, 0.5165)  2 S 3.10-3.24
Rb (0.3945, 0.4110, 0.0897)  2 S 3.10-3.24
Rb (0.0897, 0.9110, 0.3945)  2 S 3.10-3.24
Rb (0.4103, 0.1055, 0.5890)  2 S 3.10-3.24
Rb (0.0897, 0.1787, 0.1952)  2 S 3.10-3.24
Rb (0.4835, 0.6787, 0.0890)  2 S 3.10-3.24
Rb (0.8213, 0.9103, 0.3048)  2 S 3.10-3.24
Rb (0.1055, 0.4103, 0.0890)  2 S 3.10-3.24
Rb (0.3945, 0.9835, 0.8048)  2 S 3.10-3.24
Rb (0.5890, 0.6055, 0.4103)  2 S 3.10-3.24
Rb (0.9110, 0.8213, 0.5165)  2 S 3.10-3.24
Rb (0.8048, 0.3213, 0.9103)  2 S 3.10-3.24
Rb (0.4110, 0.3945, 0.5897)  2 S 3.10-3.24
Rb (0.0890, 0.1787, 0.4835)  2 S 3.10-3.24
Rb (0.1952, 0.6787, 0.0897)  2 S 3.10-3.24
Rb (0.1787, 0.0897, 0.6952)  2 S 3.10-3.24
Rb (0.6055, 0.0165, 0.1952)  2 S 3.10-3.24
Rb (0.8945, 0.5897, 0.9110)  2 S 3.10-3.24
Rb (0.5165, 0.3213, 0.9110)  2 S 3.10-3.24
Rb (0.5897, 0.8945, 0.4110)  2 S 3.10-3.24
Rb (0.9103, 0.8213, 0.8048)  2 S 3.10-3.24
Rb (0.9103, 0.0890, 0.6055)  2 S 3.10-3.24
Rb (0.8945, 0.3048, 0.4835)  2 S 3.10-3.24
Rb (0.1787, 0.0890, 0.9835)  2 S 3.10-3.24
Rb (0.6055, 0.5890, 0.9103)  2 S 3.10-3.24
Rb (0.4110, 0.0165, 0.3213)  2 S 3.10-3.24
Rb (0.3048, 0.4103, 0.8213)  2 S 3.10-3.24
Rb (0.1952, 0.5165, 0.6055)  2 S 3.10-3.24
Rb (0.9110, 0.0897, 0.8945)  2 S 3.10-3.24
Rb (0.6787, 0.1952, 0.5897)  2 S 3.10-3.24
Rb (0.4835, 0.8048, 0.8945)  2 S 3.10-3.24
Rb (0.0165, 0.4110, 0.8213)  2 S 3.10-3.24
Rb (0.4103, 0.3048, 0.3213)  2 S 3.10-3.24
Rb (0.0165, 0.6055, 0.6952)  2 S 3.10-3.24
Rb (0.6787, 0.4835, 0.5890)  2 S 3.10-3.24
Rb (0.3048, 0.8945, 0.9835)  2 S 3.10-3.24

---

Entry 3:
Density functional theory data (PBE-GGA) for a relaxed structure of RbCdS2.

uncorrected formation energy	-0.539	eV per atom
D(E_F)	4.164	states/eV per cell
crystal system	tetragonal
SG	I-42d (122)
spin magnetization	0.00	μB/f.u.

Unit cell a=7.7158 b=7.7158 c=6.7680 alpha=55.25 beta=55.25 gamma=90.00
Closest atoms and distances in Å follow each position.
Fractional coordinates of all 8 atoms:
S (0.7116, 0.1250, 0.2500)  2 Cd 2.51
S (0.0384, 0.6250, 0.2500)  2 Cd 2.51
S (0.3750, 0.2884, 0.7500)  2 Cd 2.51
S (0.8750, 0.9616, 0.7500)  2 Cd 2.51
Rb (0.5000, 0.5000, 0.0000)  8 S 3.39-3.79
Rb (0.2500, 0.7500, 0.5000)  8 S 3.39-3.79
Cd (0.0000, 0.0000, 0.0000)  4 S 2.51
Cd (0.7500, 0.2500, 0.5000)  4 S 2.51

---

Entry 4:
Density functional theory data (PBE-GGA) for a relaxed structure of Rb4Cd2S.

uncorrected formation energy	-0.299	eV per atom
D(E_F)	3.981	states/eV per cell
crystal system	tetragonal
SG	I4/mmm (139)
spin magnetization	0.00	μB/f.u.

Unit cell a=6.6532 b=6.6532 c=9.9238 alpha=109.59 beta=109.59 gamma=90.00
Closest atoms and distances in Å follow each position.
Fractional coordinates of all 7 atoms:
S (0.0000, 0.0000, 0.0000)  6 Rb 3.13-3.33
Rb (0.8208, 0.8208, 0.6416)  1 S 3.13
Rb (0.1792, 0.1792, 0.3584)  1 S 3.13
Rb (0.0000, 0.5000, 0.0000)  2 S 3.33
Rb (0.5000, 0.0000, 0.0000)  2 S 3.33
Cd (0.5965, 0.5965, 0.1929)  1 Cd 3.37, 4 Rb 3.73
Cd (0.4035, 0.4035, 0.8071)  1 Cd 3.37, 4 Rb 3.73

---

Entry 5:
Density functional theory data (PBE-GGA) for a relaxed structure of RbCdSbS3.

uncorrected formation energy	-0.659	eV per atom
D(E_F)	0.000	states/eV per cell
crystal system	monoclinic
SG	P2_1/m (11)
spin magnetization	0.00	μB/f.u.

Unit cell a=4.1254 b=9.3741 c=10.0252 alpha=101.97 beta=90.00 gamma=90.00
Closest atoms and distances in Å follow each position.
Fractional coordinates of all 12 atoms:
Rb (0.2500, 0.1715, 0.2130)  7 S 3.39-3.71
Rb (0.7500, 0.8285, 0.7870)  7 S 3.39-3.71
Cd (0.2500, 0.1081, 0.6033)  4 S 2.55-2.68
Cd (0.7500, 0.8919, 0.3967)  4 S 2.55-2.68
Sb (0.2500, 0.6421, 0.1320)  3 S 2.45-2.74
Sb (0.7500, 0.3579, 0.8680)  3 S 2.45-2.74
S (0.7500, 0.8356, 0.1343)  1 Cd 2.57, 2 Sb 2.74
S (0.2500, 0.1644, 0.8657)  1 Cd 2.57, 2 Sb 2.74
S (0.2500, 0.8179, 0.5163)  3 Cd 2.55-2.68
S (0.7500, 0.1821, 0.4837)  3 Cd 2.55-2.68
S (0.7500, 0.4226, 0.1179)  1 Sb 2.45
S (0.2500, 0.5774, 0.8821)  1 Sb 2.45

---

Entry 6:
Density functional theory data (PBE-GGA) for a relaxed structure of RbScCdS3.

uncorrected formation energy	-1.300	eV per atom
D(E_F)	0.000	states/eV per cell
crystal system	monoclinic
SG	P2_1/m (11)
spin magnetization	0.00	μB/f.u.

Unit cell a=3.9790 b=8.6637 c=10.0213 alpha=110.46 beta=90.00 gamma=90.00
Closest atoms and distances in Å follow each position.
Fractional coordinates of all 12 atoms:
Rb (0.2500, 0.2273, 0.2427)  7 S 3.34-3.68
Rb (0.7500, 0.7727, 0.7573)  7 S 3.34-3.68
Sc (0.2500, 0.6652, 0.1225)  5 S 2.49-2.66
Sc (0.7500, 0.3348, 0.8775)  5 S 2.49-2.66
Cd (0.2500, 0.0884, 0.6179)  4 S 2.48-2.70
Cd (0.7500, 0.9116, 0.3821)  4 S 2.48-2.70
S (0.7500, 0.8704, 0.1243)  1 Cd 2.48, 2 Sc 2.66
S (0.2500, 0.1296, 0.8757)  1 Cd 2.48, 2 Sc 2.66
S (0.2500, 0.7684, 0.4466)  3 Cd 2.54-2.70
S (0.7500, 0.2316, 0.5534)  3 Cd 2.54-2.70
S (0.7500, 0.4754, 0.1403)  3 Sc 2.49-2.63
S (0.2500, 0.5246, 0.8597)  3 Sc 2.49-2.63

---

Entry 7:
Density functional theory data (PBE-GGA) for a relaxed structure of Rb2CdSeS.

uncorrected formation energy	-0.925	eV per atom
crystal system	monoclinic
SG	P2_1/m (11)
spin magnetization	0.00	μB/f.u.

Unit cell a=4.3999 b=8.3793 c=10.6059 alpha=107.58 beta=90.00 gamma=90.00
Closest atoms and distances in Å follow each position.
Fractional coordinates of all 10 atoms:
Rb (0.7500, 0.8385, 0.6071)  2 S 3.24
Rb (0.7500, 0.8007, 0.0475)  3 S 3.27
Rb (0.2500, 0.1615, 0.3929)  2 S 3.24
Rb (0.2500, 0.1993, 0.9525)  3 S 3.27
Cd (0.2500, 0.4909, 0.7352)  1 S 2.42, 2 Se 2.68
Cd (0.7500, 0.5091, 0.2648)  1 S 2.42, 2 Se 2.68
Se (0.2500, 0.7013, 0.3081)  2 Cd 2.68
Se (0.7500, 0.2987, 0.6919)  2 Cd 2.68
S (0.2500, 0.7932, 0.8179)  1 Cd 2.42
S (0.7500, 0.2068, 0.1821)  1 Cd 2.42

---

Entry 8:
Density functional theory data (PBE-GGA) for a relaxed structure of Rb2Cd2SeS2.

uncorrected formation energy	-0.850	eV per atom
crystal system	monoclinic
SG	C2/m (12)
spin magnetization	0.00	μB/f.u.

Unit cell a=4.2727 b=7.6177 c=8.6903 alpha=56.78 beta=90.01 gamma=73.71
Closest atoms and distances in Å follow each position.
Fractional coordinates of all 7 atoms:
Rb (0.5549, 0.8903, 0.7639)  2 Se 3.36, 4 S 3.55-3.74
Rb (0.4451, 0.1097, 0.2361)  2 Se 3.36, 4 S 3.55-3.74
Cd (0.8006, 0.3990, 0.6842)  3 S 2.61-2.70, 1 Se 2.63
Cd (0.1994, 0.6010, 0.3158)  3 S 2.61-2.70, 1 Se 2.63
Se (0.0000, 0.0000, 0.0000)  2 Cd 2.63
S (0.8213, 0.3574, 0.3953)  3 Cd 2.61-2.70
S (0.1787, 0.6426, 0.6047)  3 Cd 2.61-2.70

---

Entry 9:
Density functional theory data (PBE-GGA) for a relaxed structure of Rb2CdSi2S6.

uncorrected formation energy	-0.724	eV per atom
D(E_F)	0.682	states/eV per cell
crystal system	trigonal
SG	R-3m (166)
spin magnetization	0.00	μB/f.u.

Unit cell a=7.0185 b=7.0185 c=8.6521 alpha=66.07 beta=66.07 gamma=60.00
Closest atoms and distances in Å follow each position.
Fractional coordinates of all 11 atoms:
Rb (0.7813, 0.7813, 0.6562)  9 S 3.59-3.72
Rb (0.2187, 0.2187, 0.3438)  9 S 3.59-3.72
Cd (0.0000, 0.0000, 0.0000)  6 S 2.75
Si (0.4090, 0.4090, 0.7729)  3 S 2.05
Si (0.5910, 0.5910, 0.2271)  3 S 2.05
S (0.7527, 0.7527, 0.2460)  1 Si 2.05
S (0.2486, 0.7527, 0.2460)  1 Si 2.05
S (0.7527, 0.2486, 0.2460)  1 Si 2.05
S (0.2473, 0.7514, 0.7540)  1 Si 2.05
S (0.7514, 0.2473, 0.7540)  1 Si 2.05
S (0.2473, 0.2473, 0.7540)  1 Si 2.05